Material: Hf2ZnRe
Method: DFT, GGA-PBE
State: relaxed

Unit cell a=4.811 b=4.811 c=7.814 alpha=90.00 beta=90.00 gamma=120.00
Fractional positions:
Zn: 0.000 0.000 0.500
Hf: 0.333 0.667 0.920
Hf: 0.667 0.333 0.080
Zn: 0.000 0.000 0.000
Re: 0.667 0.333 0.750
Hf: 0.667 0.333 0.420
Re: 0.333 0.667 0.250
Hf: 0.333 0.667 0.580

Output
VASP energy, eV per atom: -8.0525
Spin magnetization, μB/atom: 0.001
Mass density, g cm⁻³: 12.91

***

Material: KTcPd
Method: DFT, GGA-PBE
State: relaxed

Unit cell a=4.762 b=4.762 c=4.762 alpha=60.00 beta=60.00 gamma=60.00
Fractional positions:
Pd: 0.250 0.250 0.250
Tc: 0.750 0.750 0.750
K: 0.000 0.000 0.000

Output
VASP energy, eV per atom: -3.5872
Spin magnetization, μB/atom: 1.231
Mass density, g cm⁻³: 5.30
Energy relative to the lowest polymorph listed for this composition, meV/atom: 606

***

Material: CdCu2GeTe3S
Method: DFT, GGA-PBE
State: relaxed

Unit cell a=6.069 b=6.069 c=7.185 alpha=114.28 beta=114.28 gamma=90.07
Fractional positions:
Te: 0.872 0.872 0.284
Te: 0.599 0.126 0.726
S: 0.401 0.401 0.270
Cu: 0.267 0.721 0.481
Te: 0.126 0.599 0.726
Cu: 0.721 0.267 0.481
Cd: 0.025 0.025 0.016
Ge: 0.489 0.489 0.016

Output
VASP energy, eV per atom: -3.5380
Mass density, g cm⁻³: 5.61

***

Material: SmScB4
Method: DFT, GGA-PBE
State: relaxed

Unit cell a=3.219 b=3.219 c=7.616 alpha=90.00 beta=90.00 gamma=120.00
Fractional positions:
B: 0.667 0.333 0.227
Sc: 0.000 0.000 0.000
B: 0.667 0.333 0.773
Sm: 0.000 0.000 0.500
B: 0.333 0.667 0.227
B: 0.333 0.667 0.773

Output
VASP energy, eV per atom: -6.8944
Spin magnetization, μB/atom: 0.000
Mass density, g cm⁻³: 5.80
Energy relative to the lowest polymorph listed for this composition, meV/atom: 0